First-principles (GGA-PBE) data for a geometry-optimized Pa7Ge2Os2 structure, as listed in Alexandria via LeMat-Bulk.

a = 8.2869 Å, b = 10.0986 Å, c = 6.4855 Å
α = 90.00°, β = 90.00°, γ = 90.00°
Space group Cmmm (No. 65)
Asymmetric unit:
Pa1 0.0000 0.0000 0.0000 x2
Pa2 0.0000 0.5000 0.2837 x4
Pa3 0.2500 0.2500 0.2881 x8
Ge1 0.1590 0.0000 0.5000 x4
Os1 0.0000 0.2735 0.0000 x4

Output
DOS(E_F) ... 38.90 states/eV per cell
VASP energy ... -8.992 eV/atom

---

First-principles (GGA-PBE) data for a geometry-optimized Pa6Ge2Os structure, as listed in Alexandria via LeMat-Bulk.

a = 6.2978 Å, b = 7.6891 Å, c = 10.7609 Å
α = 90.00°, β = 124.16°, γ = 90.00°
Space group P2_1/c (No. 14)
Asymmetric unit:
Pa1 0.1157 0.2004 0.4687 x4
Pa2 0.3027 0.6785 0.4787 x4
Pa3 0.3090 0.0356 0.1902 x4
Ge1 0.1617 0.0914 0.7484 x4
Os1 0.5000 0.0000 0.5000 x2

Output
DOS(E_F) ... 30.63 states/eV per cell
VASP energy ... -8.747 eV/atom